Below is a geometry-optimized Rb3Cd5In6 structure, with properties calculated at the PBE level.

Computed properties:
- DOS at the Fermi energy: 0.3788 states/eV/atom
- Total DFT energy (no corrections): -1.752 eV per atom
- Volume: 921 Å³/cell
- SG: Pmmn

Structure (CIF):
```
data_Rb3Cd5In6
_chemical_formula_sum 'Rb6 Cd10 In12'
_cell_length_a 5.039
_cell_length_b 12.482
_cell_length_c 14.638
_cell_angle_alpha 90.00
_cell_angle_beta 90.00
_cell_angle_gamma 90.00
_symmetry_space_group_name_H-M 'P 1'
_symmetry_Int_Tables_number 1
_symmetry_space_group_name_Hall 'P 1'
loop_
_atom_site_label
_atom_site_type_symbol
_atom_site_fract_x
_atom_site_fract_y
_atom_site_fract_z
_atom_site_occupancy
Rb1 Rb 0.000 0.252 0.654 1
Rb2 Rb 0.500 0.748 0.154 1
Rb3 Rb 0.500 0.748 0.846 1
Rb4 Rb 0.000 0.251 0.000 1
Rb5 Rb 0.500 0.749 0.500 1
Rb6 Rb 0.000 0.252 0.346 1
Cd1 Cd 0.000 0.517 0.886 1
Cd2 Cd 0.000 0.848 0.672 1
Cd3 Cd 0.000 0.892 0.000 1
Cd4 Cd 0.500 0.483 0.614 1
Cd5 Cd 0.500 0.108 0.500 1
Cd6 Cd 0.000 0.517 0.114 1
Cd7 Cd 0.500 0.483 0.386 1
Cd8 Cd 0.000 0.848 0.328 1
Cd9 Cd 0.500 0.152 0.828 1
Cd10 Cd 0.500 0.152 0.172 1
In1 In 0.000 0.011 0.825 1
In2 In 0.500 0.989 0.675 1
In3 In 0.500 0.398 0.808 1
In4 In 0.500 0.490 0.000 1
In5 In 0.000 0.510 0.500 1
In6 In 0.000 0.602 0.692 1
In7 In 0.000 0.602 0.308 1
In8 In 0.500 0.016 0.000 1
In9 In 0.000 0.011 0.175 1
In10 In 0.500 0.398 0.192 1
In11 In 0.000 0.984 0.500 1
In12 In 0.500 0.989 0.325 1
```